# Tb3Sm4Er8 | Alexandria via LeMat-Bulk | PBE | relaxed
data_Tb3Sm4Er8
_chemical_formula_sum 'Tb3 Sm4 Er8'
_cell_length_a 6.7115
_cell_length_b 9.2485
_cell_length_c 9.2485
_cell_angle_alpha 87.59
_cell_angle_beta 111.34
_cell_angle_gamma 111.34
_symmetry_space_group_name_H-M 'P 1'
_symmetry_Int_Tables_number 1
loop_
_symmetry_equiv_pos_as_xyz
'x,y,z'
loop_
_atom_site_label
_atom_site_type_symbol
_atom_site_fract_x
_atom_site_fract_y
_atom_site_fract_z
Tb1 Tb 0.5000 0.0000 0.5000
Tb2 Tb 0.5000 0.5000 0.0000
Tb3 Tb 0.5000 0.5000 0.5000
Sm1 Sm 0.0000 0.5000 0.0000
Sm2 Sm 0.5000 0.0000 0.0000
Sm3 Sm 0.0000 0.0000 0.5000
Sm4 Sm 0.0000 0.0000 0.0000
Er1 Er 0.5249 0.2670 0.2670
Er2 Er 0.0000 0.6382 0.3618
Er3 Er 0.5000 0.7455 0.2545
Er4 Er 0.0000 0.3618 0.6382
Er5 Er 0.4751 0.7330 0.7330
Er6 Er 0.0052 0.2684 0.2684
Er7 Er 0.9948 0.7316 0.7316
Er8 Er 0.5000 0.2545 0.7455
# SG   No. 12
# N(E_F)   30.38 states/eV/f.u.
# Energy   -4.24 eV/atom
# Total moment   0.0 μB per cell
# Energy above the most stable polymorph in this dataset   253 meV/atom